! PBE PmYIr, optimized geometry; values from VASP
&SYSTEM
  ibrav = 0, nat = 18, ntyp = 3
/
ATOMIC_SPECIES
Pm 145.00 Pm.upf
Y 88.91 Y.upf
Ir 192.22 Ir.upf
CELL_PARAMETERS angstrom
7.267 -3.889 0.000
7.267 3.889 0.000
-5.809 0.000 8.599
ATOMIC_POSITIONS crystal
Pm 0.000 0.500 0.500
Pm 0.150 0.816 0.894
Pm 0.184 0.850 0.606
Pm 0.500 0.000 0.000
Pm 0.816 0.150 0.394
Pm 0.850 0.184 0.106
Y 0.154 0.369 0.828
Y 0.346 0.654 0.250
Y 0.369 0.154 0.328
Y 0.631 0.846 0.672
Y 0.654 0.346 0.750
Y 0.846 0.631 0.172
Ir 0.089 0.234 0.010
Ir 0.234 0.089 0.510
Ir 0.500 0.500 0.000
Ir 0.500 0.500 0.500
Ir 0.766 0.911 0.490
Ir 0.911 0.766 0.990
! * mass density: 8.7 Mg/m³
! * offset from the most stable computed form: 186.3 meV per atom
! * symmetry: C2/c
! * crystal system: monoclinic
! * magnetization: 0.00 μB/f.u.
! * electronic total energy: -7.109 eV per atom